(1)
Material: Zn3Au5
Method: DFT, PBE-GGA
State: relaxed

```
8
Lattice="5.572 -0.104 0.000 0.686 5.531 0.000 0.000 0.000 4.353" Properties=species:S:1:pos:R:3 pbc="T T T"
Au 4.141 1.547 2.177
Au 0.343 2.765 0.000
Au 2.117 3.880 2.177
Au 2.786 -0.052 0.000
Au 0.000 0.000 0.000
Zn 1.354 1.175 2.177
Zn 3.129 2.714 0.000
Zn 4.903 4.252 2.177
```

Computed properties:
Fermi-level density of states	0.259	states/eV per atom
crystal system	orthorhombic
magnetization	0.00	μB per formula unit

***

(2)
Material: Zn7Au5
Method: DFT, PBE-GGA
State: relaxed

```
12
Lattice="4.324 0.179 -0.511 -2.146 3.776 -0.365 0.970 -0.469 12.365" Properties=species:S:1:pos:R:3 pbc="T T T"
Zn 2.984 0.775 10.915
Zn 1.588 0.854 7.800
Zn 1.561 2.632 3.688
Zn 2.678 3.149 8.795
Zn 0.471 0.337 2.694
Zn 0.165 2.711 0.574
Zn -0.588 1.653 6.000
Au 0.692 1.862 10.122
Au 0.000 0.000 0.000
Au 2.457 1.624 1.367
Au 1.558 0.261 5.051
Au 1.592 3.225 6.437
```

Computed properties:
Fermi-level density of states	0.260	states/eV per atom
crystal system	monoclinic
magnetization	0.00	μB per formula unit

***

So what do the calculations give for energy relative to the elements? Going down the list: -172.2, -153.7 meV/atom.
So what do the calculations give for final energy? Going down the list: -21.59, -27.15 eV per cell.